This record from Alexandria describes an optimized crystal structure of Ni2CSe. The functional is GGA-PBE.

Its total magnetization is 0.00 μB/f.u. The volume is 217.0 Å³/cell. The calculation puts the uncorrected formation energy at 334 meV per atom.

The structure belongs to space group I-42d (No. 122); the cell edges are 4.511, 4.511 and 10.664 Å and the angles 90.00°, 90.00° and 90.00°. The asymmetric unit holds Ni at (0.148, 0.250, 0.125), C at (0.000, 0.000, 0.000) and Se at (0.000, 0.000, 0.500).